[1]
ScIn2W, relaxed, DFT GGA-PBE; volume = 84 Å³ per cell; energy above the lowest structure with this stoichiometry = 0.137 eV per atom
1.0
3.060 -0.003 0.000
-0.800 2.953 0.000
0.000 0.000 9.311
In Sc W
2 1 1
Direct
0.000 0.000 0.980
0.500 0.500 0.253
0.000 0.000 0.522
0.500 0.500 0.746

---

[2]
Y2Sc3In4, relaxed, DFT GGA-PBE; volume = 468 Å³ per cell; final energy = -5.07 eV per atom
1.0
6.674 0.000 0.000
0.000 8.670 0.000
-3.337 0.000 8.095
Y Sc In
4 6 8
Direct
0.112 0.581 0.224
0.888 0.419 0.776
0.388 0.081 0.776
0.612 0.919 0.224
0.000 0.000 0.000
0.500 0.500 0.000
0.533 0.750 0.566
0.967 0.250 0.434
0.467 0.250 0.434
0.033 0.750 0.566
0.712 0.750 0.925
0.788 0.250 0.075
0.288 0.250 0.075
0.212 0.750 0.925
0.183 0.958 0.367
0.817 0.042 0.633
0.317 0.458 0.633
0.683 0.542 0.367

---

[3]
YSc4In5, relaxed, DFT GGA-PBE; volume = 233 Å³ per cell; final energy = -4.98 eV per atom
1.0
-0.647 -3.251 0.015
3.218 -0.643 -0.471
2.967 -0.495 20.966
Y Sc In
1 4 5
Direct
0.000 0.000 0.000
0.000 0.000 0.206
0.000 0.000 0.402
0.000 0.000 0.598
0.000 0.000 0.794
0.500 0.500 0.108
0.500 0.500 0.304
0.500 0.500 0.500
0.500 0.500 0.696
0.500 0.500 0.892

---

[4]
YScIn2, relaxed, DFT GGA-PBE; volume = 105 Å³ per cell; final energy = -4.87 eV per atom
1.0
9.994 0.045 0.027
9.355 3.514 0.027
9.355 1.721 3.064
In Sc Y
2 1 1
Direct
0.996 0.996 0.996
0.504 0.504 0.504
0.250 0.250 0.250
0.750 0.750 0.750

---

[5]
Y2ScIn, relaxed, DFT GGA-PBE; volume = 111 Å³ per cell; final energy = -5.73 eV per atom
1.0
-0.391 -2.695 2.239
3.440 0.131 0.758
-1.678 5.742 6.618
Y Sc In
2 1 1
Direct
0.000 0.000 0.984
0.500 0.500 0.276
0.500 0.500 0.723
0.000 0.000 0.516

---

[6]
YScIn2, relaxed, DFT GGA-PBE; volume = 98 Å³ per cell; final energy = -5.02 eV per atom
1.0
3.357 0.000 0.000
0.000 4.251 0.000
0.000 0.000 6.872
Y Sc In
1 1 2
Direct
0.500 0.500 0.750
0.500 0.500 0.250
0.000 0.000 0.019
0.000 0.000 0.481

---

[7]
YScIn2, relaxed, DFT GGA-PBE; volume = 118 Å³ per cell; final energy = -4.33 eV per atom
1.0
5.860 -2.002 -3.358
-1.768 5.935 3.358
-4.186 0.259 5.660
Y Sc In
1 1 2
Direct
0.000 0.500 0.500
0.000 0.000 0.000
0.000 0.241 0.241
0.000 0.759 0.759

---

[8]
YScIn2, relaxed, DFT GGA-PBE; volume = 106 Å³ per cell; final energy = -4.87 eV per atom
1.0
-0.013 0.203 -3.552
1.230 -5.967 -0.345
-3.953 -4.992 -0.271
In Sc Y
2 1 1
Direct
0.000 0.000 0.000
0.500 0.500 0.000
0.500 0.500 0.500
0.000 0.000 0.500

---

[9]
Y2ScIn, relaxed, DFT GGA-PBE; volume = 112 Å³ per cell; final energy = -5.73 eV per atom
1.0
-1.862 0.365 -3.042
-0.966 -3.448 0.178
-7.037 2.208 4.575
Y Sc In
2 1 1
Direct
0.000 0.000 0.010
0.000 0.000 0.490
0.500 0.500 0.750
0.500 0.500 0.250

---

[10]
Y3Sc4In4, relaxed, DFT GGA-PBE; volume = 289 Å³ per cell; final energy = -5.36 eV per atom
1.0
5.047 0.000 0.000
0.000 6.966 0.000
-2.524 -3.483 8.213
Y Sc In
3 4 4
Direct
0.112 0.112 0.224
0.888 0.888 0.776
0.000 0.500 0.000
0.321 0.099 0.643
0.679 0.457 0.357
0.679 0.901 0.357
0.321 0.543 0.643
0.187 0.687 0.374
0.813 0.313 0.626
0.500 0.788 0.000
0.500 0.212 0.000

---

[11]
Y8Sc2In, relaxed, DFT GGA-PBE; volume = 337 Å³ per cell; final energy = -6.01 eV per atom
1.0
-1.883 5.211 -0.435
-6.523 -4.046 4.429
7.969 1.130 3.709
Y Sc In
8 2 1
Direct
0.852 0.905 0.672
0.852 0.672 0.905
0.297 0.600 0.600
0.500 0.792 0.208
0.500 0.208 0.792
0.703 0.400 0.400
0.148 0.328 0.095
0.148 0.095 0.328
0.000 0.304 0.696
0.000 0.696 0.304
0.500 0.000 0.000

---

[12]
YScIn2, relaxed, DFT GGA-PBE; volume = 104 Å³ per cell; final energy = -4.77 eV per atom
1.0
-0.458 0.292 -3.473
0.722 -3.419 -0.383
-8.153 -1.826 0.923
In Sc Y
2 1 1
Direct
0.000 0.000 0.017
0.500 0.500 0.251
0.000 0.000 0.478
0.500 0.500 0.754